P) # Zn2ReNi | the Alexandria database | GGA-PBE | optimized geometry
data_Zn2ReNi
_chemical_formula_sum 'Zn4 Re2 Ni2'
_symmetry_space_group_name_H-M 'A m m 2'
_symmetry_Int_Tables_number 38
_cell_length_a 4.062
_cell_length_b 2.637
_cell_length_c 10.080
_cell_angle_alpha 90.00
_cell_angle_beta 90.00
_cell_angle_gamma 90.00
loop_
_symmetry_equiv_pos_as_xyz
'x,y,z'
'-x,-y,z'
'-x,y,z'
'x,-y,z'
'x,y+1/2,z+1/2'
'-x,-y+1/2,z+1/2'
'-x,y+1/2,z+1/2'
'x,-y+1/2,z+1/2'
loop_
_atom_site_label
_atom_site_type_symbol
_atom_site_fract_x
_atom_site_fract_y
_atom_site_fract_z
_atom_site_occupancy
Zn1 Zn 0.000 0.000 0.000 1
Zn2 Zn 0.500 0.000 0.387 1
Re1 Re 0.000 0.000 0.740 1
Ni1 Ni 0.500 0.000 0.139 1
# calculated density = 11.55 g cm⁻³
# N(E_F) = 5.8 states/eV/cell


Q) # Zn2ReNi | the Alexandria database | GGA-PBE | optimized geometry
data_Zn2ReNi
_chemical_formula_sum 'Zn2 Re1 Ni1'
_symmetry_space_group_name_H-M 'P 4/m m m'
_symmetry_Int_Tables_number 123
_symmetry_space_group_name_Hall '-P 4 2'
_cell_length_a 2.628
_cell_length_b 2.628
_cell_length_c 7.759
_cell_angle_alpha 90.00
_cell_angle_beta 90.00
_cell_angle_gamma 90.00
loop_
_atom_site_label
_atom_site_type_symbol
_atom_site_fract_x
_atom_site_fract_y
_atom_site_fract_z
_atom_site_occupancy
Zn1 Zn 0.000 0.000 0.225 1
Re1 Re 0.500 0.500 0.500 1
Ni1 Ni 0.500 0.500 0.000 1
# calculated density = 11.65 g cm⁻³
# N(E_F) = 2.5 states/eV/cell


R) # Zn2ReNi | the Alexandria database | GGA-PBE | optimized geometry
data_Zn2ReNi
_chemical_formula_sum 'Zn4 Re2 Ni2'
_symmetry_space_group_name_H-M 'I -4 m 2'
_symmetry_Int_Tables_number 119
_symmetry_space_group_name_Hall 'I -4 -2'
_cell_length_a 3.772
_cell_length_b 3.772
_cell_length_c 7.547
_cell_angle_alpha 90.00
_cell_angle_beta 90.00
_cell_angle_gamma 90.00
loop_
_atom_site_label
_atom_site_type_symbol
_atom_site_fract_x
_atom_site_fract_y
_atom_site_fract_z
_atom_site_occupancy
Zn1 Zn 0.000 0.000 0.000 1
Zn2 Zn 0.000 0.500 0.250 1
Re1 Re 0.000 0.000 0.500 1
Ni1 Ni 0.000 0.500 0.750 1
# calculated density = 11.62 g cm⁻³
# N(E_F) = 8.7 states/eV/cell


Energy above the most stable structure, in meV/atom: P) 29; Q) 0; R) 180


P) # ZnReNi3 | the Alexandria database | GGA-PBE | optimized geometry
data_ZnReNi3
_chemical_formula_sum 'Zn1 Re1 Ni3'
_symmetry_space_group_name_H-M 'P m -3 m'
_symmetry_Int_Tables_number 221
_symmetry_space_group_name_Hall '-P 4 2 3'
_cell_length_a 4.222
_cell_length_b 4.222
_cell_length_c 4.222
_cell_angle_alpha 90.00
_cell_angle_beta 90.00
_cell_angle_gamma 90.00
loop_
_atom_site_label
_atom_site_type_symbol
_atom_site_fract_x
_atom_site_fract_y
_atom_site_fract_z
_atom_site_occupancy
Zn1 Zn 0.000 0.000 0.000 1
Re1 Re 0.500 0.500 0.500 1
Ni1 Ni 0.000 0.000 0.500 1
# calculated density = 9.44 g cm⁻³
# N(E_F) = 10.5 states/eV/cell


Q) # ZnReNi3 | the Alexandria database | GGA-PBE | optimized geometry
data_ZnReNi3
_chemical_formula_sum 'Zn1 Re1 Ni3'
_symmetry_space_group_name_H-M 'P m -3 m'
_symmetry_Int_Tables_number 221
_symmetry_space_group_name_Hall '-P 4 2 3'
_cell_length_a 4.507
_cell_length_b 4.507
_cell_length_c 4.507
_cell_angle_alpha 90.00
_cell_angle_beta 90.00
_cell_angle_gamma 90.00
loop_
_atom_site_label
_atom_site_type_symbol
_atom_site_fract_x
_atom_site_fract_y
_atom_site_fract_z
_atom_site_occupancy
Zn1 Zn 0.000 0.000 0.000 1
Re1 Re 0.500 0.500 0.500 1
Ni1 Ni 0.000 0.500 0.500 1
# calculated density = 7.76 g cm⁻³
# N(E_F) = 5.7 states/eV/cell


Energy above the most stable structure, in meV/atom: P) 6; Q) 0